Co3ReCl after structural relaxation, computed with GGA-PBE.

Structure (POSCAR):
```
Co3ReCl
1.0
4.5586 0.0000 0.0000
0.0000 4.5586 0.0000
0.0000 0.0000 4.5586
Re Co Cl
1 3 1
Direct
0.0000 0.0000 0.0000
0.0000 0.5000 0.0000
0.0000 0.0000 0.5000
0.5000 0.0000 0.0000
0.5000 0.5000 0.5000
```

Calculated values
**Crystal system**: cubic
**Polymorph energy (0 for the lowest one)**: 35.0 kJ/mol of atoms
**Calculated volume**: 95 Å³/cell
**Formation energy without anion corrections**: 1.57 eV per atom
**Symmetry**: No. 221

***

MoIr2Br after structural relaxation, computed with GGA-PBE.

Structure (POSCAR):
```
MoIr2Br
1.0
-4.0567 1.8907 0.2802
-0.9096 -2.4483 3.6450
3.6859 2.5783 -0.1228
Mo Ir Br
1 2 1
Direct
0.5091 0.4910 0.0001
0.0013 0.9987 0.0000
0.2480 0.7519 0.5000
0.7415 0.2583 0.5000
```

Calculated values
**Crystal system**: orthorhombic
**Polymorph energy (0 for the lowest one)**: 44.9 kJ/mol of atoms
**Calculated volume**: 64 Å³/cell
**Formation energy without anion corrections**: 0.82 eV per atom
**Symmetry**: No. 44

***

AlAgOs2 after structural relaxation, computed with GGA-PBE.

Structure (POSCAR):
```
AlAgOs2
1.0
4.9185 0.0063 0.0000
1.9123 4.5315 0.0000
-3.4154 -2.2689 2.7164
Os Al Ag
2 1 1
Direct
0.0000 0.0000 0.0000
0.5000 0.5000 0.0000
0.7500 0.2500 0.5000
0.2500 0.7500 0.5000
```

Calculated values
**Calculated formation energy**: 190 kJ/mol of formula units
**Crystal system**: tetragonal
**Calculated volume**: 61 Å³/cell
**Symmetry**: No. 139

***

YMg2Mo after structural relaxation, computed with GGA-PBE.

Structure (POSCAR):
```
YMg2Mo
1.0
-2.5687 -1.6651 -1.5622
3.0497 -1.6209 -3.2869
0.9462 -4.2490 2.9732
Mg Mo Y
2 1 1
Direct
0.0000 0.0000 0.0000
0.5000 0.5000 0.0000
0.5000 0.0000 0.5000
0.0000 0.5000 0.5000
```

Calculated values
**Calculated formation energy**: 143 kJ/mol of formula units
**Crystal system**: orthorhombic
**Polymorph energy (0 for the lowest one)**: 8.5 kJ/mol of atoms
**Calculated volume**: 86 Å³/cell
**Symmetry**: No. 47

***

Ac7Rh2Pb2 after structural relaxation, computed with GGA-PBE.

Structure (POSCAR):
```
Ac7Rh2Pb2
1.0
-4.2892 1.6761 0.6038
-1.6940 -1.3961 9.7045
1.3840 7.8146 6.0010
Ac Rh Pb
7 2 2
Direct
0.8274 0.0444 0.3008
0.8810 0.4093 0.8287
0.5000 0.0016 0.9984
0.6054 0.4992 0.2900
0.3946 0.7100 0.5008
0.1726 0.6992 0.9556
0.1190 0.1713 0.5907
0.0000 0.7940 0.2060
0.5000 0.3514 0.6486
0.7292 0.8576 0.6841
0.2708 0.3159 0.1424
```

Calculated values
**Calculated formation energy**: -453 kJ/mol of formula units
**Crystal system**: orthorhombic
**Polymorph energy (0 for the lowest one)**: 0.0 kJ/mol of atoms
**Calculated volume**: 394 Å³/cell
**Symmetry**: No. 44

***

HfGaAg after structural relaxation, computed with GGA-PBE.

Structure (POSCAR):
```
HfGaAg
1.0
5.0342 -0.0001 0.0009
0.0001 2.9428 -0.0003
-2.5190 -0.0035 7.3899
Hf Ga Ag
2 2 2
Direct
0.3591 0.3335 0.6074
0.0051 0.3325 0.8984
0.8362 0.8335 0.5574
0.5322 0.8337 0.9484
0.4978 0.3333 0.2530
0.0063 0.8330 0.2528
```

Calculated values
**Calculated formation energy**: -55 kJ/mol of formula units
**Crystal system**: orthorhombic
**Calculated volume**: 109 Å³/cell
**Symmetry**: No. 38